Record 1
Compound: La2Pm2Sn3
Source: Alexandria via LeMat-Bulk
Functional: PBE
Structure: optimized geometry

Magnetic moment in μB per atom: 0.000
ΔH_f (0 K) in eV per atom: -0.4671
Space group: No. 12

Lattice parameters (Å, degrees): 15.345 4.630 8.326 90.00 106.42 90.00
Atoms (fractional coordinates):
La: 0.124 0.000 0.394
La: 0.376 0.500 0.606
La: 0.624 0.500 0.394
La: 0.876 0.000 0.606
Pm: 0.156 0.500 0.839
Pm: 0.344 0.000 0.161
Pm: 0.656 0.000 0.839
Pm: 0.844 0.500 0.161
Sn: 0.000 0.500 0.500
Sn: 0.223 0.500 0.234
Sn: 0.277 0.000 0.766
Sn: 0.500 0.000 0.500
Sn: 0.723 0.000 0.234
Sn: 0.777 0.500 0.766

Record 2
Compound: La3PmSn
Source: Alexandria via LeMat-Bulk
Functional: PBE
Structure: optimized geometry

Magnetic moment in μB per atom: 0.000
ΔH_f (0 K) in eV per atom: -0.3367
E above lowest polymorph in meV per atom: 0
Space group: No. 63

Lattice parameters (Å, degrees): 13.501 13.501 4.946 90.00 90.00 158.89
Atoms (fractional coordinates):
La: 0.056 0.944 0.750
La: 0.250 0.750 0.750
La: 0.442 0.558 0.750
La: 0.558 0.442 0.250
La: 0.750 0.250 0.250
La: 0.944 0.056 0.250
Pm: 0.347 0.653 0.250
Pm: 0.653 0.347 0.750
Sn: 0.153 0.847 0.250
Sn: 0.847 0.153 0.750

Record 3
Compound: La2PmSn
Source: Alexandria via LeMat-Bulk
Functional: PBE
Structure: optimized geometry

Magnetic moment in μB per atom: 0.000
ΔH_f (0 K) in eV per atom: -0.4313
E above lowest polymorph in meV per atom: 45
Space group: No. 74

Lattice parameters (Å, degrees): 6.922 8.926 8.346 90.00 90.00 90.00
Atoms (fractional coordinates):
La: 0.250 0.042 0.250
La: 0.250 0.458 0.250
La: 0.250 0.542 0.750
La: 0.250 0.958 0.750
La: 0.750 0.042 0.250
La: 0.750 0.458 0.250
La: 0.750 0.542 0.750
La: 0.750 0.958 0.750
Pm: 0.000 0.250 0.568
Pm: 0.000 0.750 0.432
Pm: 0.500 0.250 0.932
Pm: 0.500 0.750 0.068
Sn: 0.000 0.250 0.958
Sn: 0.000 0.750 0.042
Sn: 0.500 0.250 0.542
Sn: 0.500 0.750 0.458

Record 4
Compound: La7PmSn4
Source: Alexandria via LeMat-Bulk
Functional: PBE
Structure: optimized geometry

Magnetic moment in μB per atom: 0.000
ΔH_f (0 K) in eV per atom: -0.3645
Space group: No. 12

Lattice parameters (Å, degrees): 7.794 7.794 11.511 121.99 121.99 45.16
Atoms (fractional coordinates):
La: 0.000 0.000 0.000
La: 0.181 0.181 0.603
La: 0.294 0.294 0.112
La: 0.445 0.445 0.636
La: 0.555 0.555 0.364
La: 0.706 0.706 0.888
La: 0.819 0.819 0.397
Pm: 0.500 0.500 0.000
Sn: 0.066 0.066 0.766
Sn: 0.200 0.200 0.328
Sn: 0.800 0.800 0.672
Sn: 0.934 0.934 0.234